The following is a DFT calculation (GGA-PBE) of LaNp4Ni3S12 after structural relaxation.

Values from the calculation:
Density of states at the Fermi level (states/eV/f.u.): 41.2
Crystal system: cubic
Total magnetization (μB/f.u.): 13.1
E_form (uncorrected) (eV/atom): -0.955

a b c (Å): 9.564 9.564 9.564
angles (deg): 90.00 90.00 90.00
Space group Im-3 (No. 204)
Asymmetric unit:
La 0.000 0.000 0.000 (multiplicity 2)
Np 0.250 0.250 0.250 (multiplicity 8)
Ni 0.000 0.000 0.500 (multiplicity 6)
S 0.000 0.151 0.316 (multiplicity 24)


The following is a DFT calculation (GGA-PBE) of Be2HgW after structural relaxation.

Values from the calculation:
Density of states at the Fermi level (states/eV/f.u.): 1.4
Crystal system: orthorhombic
Total magnetization (μB/f.u.): 0.0
Formation energy from the elements (meV/atom): 390

a b c (Å): 2.841 3.406 5.835
angles (deg): 90.00 90.00 90.00
Space group Pmmm (No. 47)
Asymmetric unit:
Be 0.000 0.000 0.193 (multiplicity 2)
Hg 0.500 0.500 0.500 (multiplicity 1)
W 0.500 0.500 0.000 (multiplicity 1)


The following is a DFT calculation (GGA-PBE) of SrMgSnPd3 after structural relaxation.

Values from the calculation:
Density of states at the Fermi level (states/eV/f.u.): 2.5
Crystal system: orthorhombic
Total magnetization (μB/f.u.): 0.0
Formation energy from the elements (meV/atom): -481

a b c (Å): 6.343 12.708 6.576
angles (deg): 90.00 90.00 90.00
Space group Cmcm (No. 63)
Asymmetric unit:
Sr 0.000 0.186 0.250 (multiplicity 4)
Mg 0.000 0.437 0.250 (multiplicity 4)
Sn 0.000 0.137 0.750 (multiplicity 4)
Pd 0.000 0.349 0.750 (multiplicity 4)
Pd 0.220 0.000 0.000 (multiplicity 8)


The following is a DFT calculation (GGA-PBE) of Pu4Si2Au5 after structural relaxation.

Values from the calculation:
Density of states at the Fermi level (states/eV/f.u.): 45.5
Crystal system: monoclinic
Total magnetization (μB/f.u.): 0.1
E_form (uncorrected) (eV/atom): -0.402

a b c (Å): 7.308 3.968 8.523
angles (deg): 90.00 90.32 90.00
Space group P2/m (No. 10)
Asymmetric unit:
Pu 0.210 0.000 0.361 (multiplicity 2)
Pu 0.247 0.000 0.901 (multiplicity 2)
Si 0.068 0.500 0.124 (multiplicity 2)
Au 0.136 0.500 0.632 (multiplicity 2)
Au 0.426 0.500 0.155 (multiplicity 2)
Au 0.500 0.500 0.500 (multiplicity 1)